LuCuSn2: optimized geometry, PBE.

a = 9.376 Å, b = 9.376 Å, c = 9.376 Å
α = 20.94°, β = 20.94°, γ = 20.94°
Fractional positions:
Lu 0.000 0.000 0.000
Cu 0.500 0.500 0.500
Sn 0.238 0.238 0.238
Sn 0.762 0.762 0.762

- formation energy (eV per atom) = -0.05
- crystal system = trigonal
- SG = R-3m



LuCuSn2: optimized geometry, PBE.

a = 4.480 Å, b = 4.480 Å, c = 4.322 Å
α = 90.00°, β = 90.00°, γ = 90.00°
Fractional positions:
Lu 0.000 0.000 0.000
Cu 0.500 0.500 0.000
Sn 0.000 0.500 0.500
Sn 0.500 0.000 0.500

- formation energy (eV per atom) = -0.30
- crystal system = tetragonal
- SG = P4/mmm